(1)
VASP calculation (PBE) on an optimized crystal structure of Ba3IrBr2.

Its formation energy from raw total energies is -1183.0 meV/atom. For the density of states at the Fermi level, the calculation gives 17.77 states/eV per cell. Its symmetry is Fddd (70).

Structure (CIF):
```
data_Ba3IrBr2
_chemical_formula_sum 'Ba12 Ir4 Br8'
_space_group_name_H-M_alt 'P 1'
_space_group_IT_number 1
_cell_length_a 8.295
_cell_length_b 8.295
_cell_length_c 14.770
_cell_angle_alpha 101.14
_cell_angle_beta 101.14
_cell_angle_gamma 108.17
loop_
_space_group_symop_operation_xyz
'x,y,z'
loop_
_atom_site_label
_atom_site_type_symbol
_atom_site_fract_x
_atom_site_fract_y
_atom_site_fract_z
Ba1 Ba 0.661 0.125 0.818
Ba2 Ba 0.791 0.791 0.000
Ba3 Ba 0.875 0.339 0.182
Ba4 Ba 0.157 0.692 0.818
Ba5 Ba 0.308 0.843 0.182
Ba6 Ba 0.942 0.907 0.318
Ba7 Ba 0.041 0.541 0.500
Ba8 Ba 0.375 0.411 0.318
Ba9 Ba 0.209 0.209 0.000
Ba10 Ba 0.589 0.625 0.682
Ba11 Ba 0.459 0.959 0.500
Ba12 Ba 0.093 0.058 0.682
Br1 Br 0.672 0.172 0.343
Br2 Br 0.828 0.328 0.657
Br3 Br 0.253 0.253 0.505
Br4 Br 0.503 0.003 0.005
Br5 Br 0.747 0.747 0.495
Br6 Br 0.997 0.497 0.995
Br7 Br 0.422 0.422 0.843
Br8 Br 0.578 0.578 0.157
Ir1 Ir 0.166 0.666 0.332
Ir2 Ir 0.334 0.834 0.668
Ir3 Ir 0.084 0.084 0.168
Ir4 Ir 0.916 0.916 0.832
```


(2)
VASP calculation (PBE) on an optimized crystal structure of BaIrBr.

The value obtained for the energy above the most stable polymorph in this dataset is 0.1 meV per atom. Its formation energy from raw total energies is -1012.2 meV/atom. For the density of states at the Fermi level, the calculation gives 3.83 states/eV per cell. Its symmetry is C2/m (12).

Structure (CIF):
```
data_BaIrBr
_chemical_formula_sum 'Ba2 Ir2 Br2'
_space_group_name_H-M_alt 'P 1'
_space_group_IT_number 1
_cell_length_a 4.343
_cell_length_b 12.404
_cell_length_c 4.343
_cell_angle_alpha 90.81
_cell_angle_beta 118.80
_cell_angle_gamma 89.14
loop_
_space_group_symop_operation_xyz
'x,y,z'
loop_
_atom_site_label
_atom_site_type_symbol
_atom_site_fract_x
_atom_site_fract_y
_atom_site_fract_z
Ba1 Ba 0.518 0.627 0.908
Ba2 Ba 0.508 0.027 0.916
Ir1 Ir 0.836 0.827 0.589
Ir2 Ir 0.190 0.828 0.234
Br1 Br 0.184 0.472 0.242
Br2 Br 0.842 0.182 0.581
```


(3)
VASP calculation (PBE) on an optimized crystal structure of BaIrBr.

The value obtained for the energy above the most stable polymorph in this dataset is 181.5 meV per atom. Its formation energy from raw total energies is -830.8 meV/atom. For the density of states at the Fermi level, the calculation gives 0.03 states/eV per cell. Its symmetry is Cm (8).

Structure (CIF):
```
data_BaIrBr
_chemical_formula_sum 'Ba2 Ir2 Br2'
_space_group_name_H-M_alt 'P 1'
_space_group_IT_number 1
_cell_length_a 4.397
_cell_length_b 9.050
_cell_length_c 6.147
_cell_angle_alpha 105.69
_cell_angle_beta 110.95
_cell_angle_gamma 90.00
loop_
_space_group_symop_operation_xyz
'x,y,z'
loop_
_atom_site_label
_atom_site_type_symbol
_atom_site_fract_x
_atom_site_fract_y
_atom_site_fract_z
Br1 Br 0.519 0.096 0.942
Br2 Br 0.870 0.412 0.644
Ir1 Ir 0.764 0.845 0.432
Ir2 Ir 0.195 0.770 0.295
Ba1 Ba 0.238 0.136 0.380
Ba2 Ba 0.455 0.704 0.814
```


(4)
VASP calculation (PBE) on an optimized crystal structure of Ba5IrBr5.

Its formation energy from raw total energies is -1529.4 meV/atom. For the density of states at the Fermi level, the calculation gives 6.58 states/eV per cell. Its symmetry is C2/m (12).

Structure (CIF):
```
data_Ba5IrBr5
_chemical_formula_sum 'Ba5 Ir1 Br5'
_space_group_name_H-M_alt 'P 1'
_space_group_IT_number 1
_cell_length_a 6.635
_cell_length_b 8.465
_cell_length_c 9.455
_cell_angle_alpha 106.53
_cell_angle_beta 90.00
_cell_angle_gamma 113.07
loop_
_space_group_symop_operation_xyz
'x,y,z'
loop_
_atom_site_label
_atom_site_type_symbol
_atom_site_fract_x
_atom_site_fract_y
_atom_site_fract_z
Ba1 Ba 0.500 0.000 0.000
Ba2 Ba 0.138 0.277 0.845
Ba3 Ba 0.862 0.723 0.155
Ba4 Ba 0.148 0.296 0.305
Ba5 Ba 0.852 0.704 0.695
Br1 Br 0.306 0.611 0.666
Br2 Br 0.000 0.000 0.500
Br3 Br 0.319 0.638 0.154
Br4 Br 0.694 0.389 0.334
Br5 Br 0.681 0.362 0.846
Ir1 Ir 0.000 0.000 0.000
```


(5)
VASP calculation (PBE) on an optimized crystal structure of BaIrBr.

The value obtained for the energy above the most stable polymorph in this dataset is 148.3 meV per atom. Its formation energy from raw total energies is -864.0 meV/atom. For the density of states at the Fermi level, the calculation gives 1.66 states/eV per cell. Its symmetry is P2_1/m (11).

Structure (CIF):
```
data_BaIrBr
_chemical_formula_sum 'Ba2 Ir2 Br2'
_space_group_name_H-M_alt 'P 1'
_space_group_IT_number 1
_cell_length_a 4.340
_cell_length_b 11.137
_cell_length_c 4.243
_cell_angle_alpha 85.01
_cell_angle_beta 90.04
_cell_angle_gamma 67.04
loop_
_space_group_symop_operation_xyz
'x,y,z'
loop_
_atom_site_label
_atom_site_type_symbol
_atom_site_fract_x
_atom_site_fract_y
_atom_site_fract_z
Br1 Br 0.137 0.446 0.473
Br2 Br 0.876 0.208 0.029
Ba1 Ba 0.506 0.578 0.941
Ba2 Ba 0.508 0.076 0.562
Ir1 Ir 0.260 0.824 0.367
Ir2 Ir 0.754 0.830 0.135
```


(6)
VASP calculation (PBE) on an optimized crystal structure of BaIrBr.

The value obtained for the energy above the most stable polymorph in this dataset is 777.2 meV per atom. Its formation energy from raw total energies is -235.1 meV/atom. For the density of states at the Fermi level, the calculation gives 1.77 states/eV per cell. Its symmetry is P6_3/mmc (194).

Structure (CIF):
```
data_BaIrBr
_chemical_formula_sum 'Ba2 Ir2 Br2'
_space_group_name_H-M_alt 'P 1'
_space_group_IT_number 1
_cell_length_a 4.517
_cell_length_b 4.517
_cell_length_c 8.962
_cell_angle_alpha 90.00
_cell_angle_beta 90.00
_cell_angle_gamma 120.00
loop_
_space_group_symop_operation_xyz
'x,y,z'
loop_
_atom_site_label
_atom_site_type_symbol
_atom_site_fract_x
_atom_site_fract_y
_atom_site_fract_z
Br1 Br 0.667 0.333 0.750
Br2 Br 0.333 0.667 0.250
Ir1 Ir 0.667 0.333 0.250
Ir2 Ir 0.333 0.667 0.750
Ba1 Ba 0.000 0.000 0.500
Ba2 Ba 0.000 0.000 0.000
```


(7)
VASP calculation (PBE) on an optimized crystal structure of Ba4IrBr3.

Its formation energy from raw total energies is -1296.9 meV/atom. For the density of states at the Fermi level, the calculation gives 9.87 states/eV per cell. Its symmetry is P2/c (13).

Structure (CIF):
```
data_Ba4IrBr3
_chemical_formula_sum 'Ba8 Ir2 Br6'
_space_group_name_H-M_alt 'P 1'
_space_group_IT_number 1
_cell_length_a 8.040
_cell_length_b 8.646
_cell_length_c 9.706
_cell_angle_alpha 90.00
_cell_angle_beta 90.00
_cell_angle_gamma 109.69
loop_
_space_group_symop_operation_xyz
'x,y,z'
loop_
_atom_site_label
_atom_site_type_symbol
_atom_site_fract_x
_atom_site_fract_y
_atom_site_fract_z
Ba1 Ba 0.968 0.227 0.661
Ba2 Ba 0.032 0.773 0.339
Ba3 Ba 0.995 0.210 0.105
Ba4 Ba 0.532 0.773 0.661
Ba5 Ba 0.505 0.790 0.105
Ba6 Ba 0.468 0.227 0.339
Ba7 Ba 0.495 0.210 0.895
Ba8 Ba 0.005 0.790 0.895
Br1 Br 0.750 0.000 0.393
Br2 Br 0.750 0.500 0.612
Br3 Br 0.250 0.500 0.869
Br4 Br 0.250 0.000 0.607
Br5 Br 0.750 0.500 0.131
Br6 Br 0.250 0.500 0.388
Ir1 Ir 0.750 0.000 0.873
Ir2 Ir 0.250 0.000 0.127
```


(8)
VASP calculation (PBE) on an optimized crystal structure of Ba4IrBr4.

Its formation energy from raw total energies is -1522.3 meV/atom. For the density of states at the Fermi level, the calculation gives 3.77 states/eV per cell. Its symmetry is C2/m (12).

Structure (CIF):
```
data_Ba4IrBr4
_chemical_formula_sum 'Ba4 Ir1 Br4'
_space_group_name_H-M_alt 'P 1'
_space_group_IT_number 1
_cell_length_a 4.647
_cell_length_b 8.614
_cell_length_c 10.399
_cell_angle_alpha 75.04
_cell_angle_beta 77.09
_cell_angle_gamma 74.35
loop_
_space_group_symop_operation_xyz
'x,y,z'
loop_
_atom_site_label
_atom_site_type_symbol
_atom_site_fract_x
_atom_site_fract_y
_atom_site_fract_z
Ir1 Ir 0.500 0.000 0.000
Ba1 Ba 0.923 0.260 0.893
Ba2 Ba 0.077 0.740 0.107
Ba3 Ba 0.316 0.103 0.266
Ba4 Ba 0.684 0.897 0.734
Br1 Br 0.709 0.398 0.184
Br2 Br 0.291 0.602 0.816
Br3 Br 0.877 0.839 0.407
Br4 Br 0.123 0.161 0.593
```


(9)
VASP calculation (PBE) on an optimized crystal structure of BaIrBr.

The value obtained for the energy above the most stable polymorph in this dataset is 220.8 meV per atom. Its formation energy from raw total energies is -791.6 meV/atom. For the density of states at the Fermi level, the calculation gives 1.35 states/eV per cell. Its symmetry is Imma (74).

Structure (CIF):
```
data_BaIrBr
_chemical_formula_sum 'Ba2 Ir2 Br2'
_space_group_name_H-M_alt 'P 1'
_space_group_IT_number 1
_cell_length_a 6.802
_cell_length_b 6.809
_cell_length_c 6.802
_cell_angle_alpha 86.37
_cell_angle_beta 38.39
_cell_angle_gamma 98.78
loop_
_space_group_symop_operation_xyz
'x,y,z'
loop_
_atom_site_label
_atom_site_type_symbol
_atom_site_fract_x
_atom_site_fract_y
_atom_site_fract_z
Br1 Br 0.840 0.383 0.855
Br2 Br 0.340 0.103 0.635
Ir1 Ir 0.840 0.697 0.541
Ir2 Ir 0.340 0.791 0.948
Ba1 Ba 0.090 0.244 0.244
Ba2 Ba 0.590 0.744 0.245
```


(10)
VASP calculation (PBE) on an optimized crystal structure of K2BaIrBr8.

Its formation energy from raw total energies is -1160.2 meV/atom. For the density of states at the Fermi level, the calculation gives 6.16 states/eV per cell. Its symmetry is P-1 (2).

Structure (CIF):
```
data_K2BaIrBr8
_chemical_formula_sum 'K2 Ba1 Ir1 Br8'
_space_group_name_H-M_alt 'P 1'
_space_group_IT_number 1
_cell_length_a 6.221
_cell_length_b 8.337
_cell_length_c 9.361
_cell_angle_alpha 89.98
_cell_angle_beta 90.01
_cell_angle_gamma 112.73
loop_
_space_group_symop_operation_xyz
'x,y,z'
loop_
_atom_site_label
_atom_site_type_symbol
_atom_site_fract_x
_atom_site_fract_y
_atom_site_fract_z
Br1 Br 0.057 0.807 0.192
Br2 Br 0.943 0.193 0.808
Br3 Br 0.942 0.193 0.192
Br4 Br 0.457 0.744 0.500
Br5 Br 0.058 0.807 0.808
Br6 Br 0.543 0.256 0.500
Br7 Br 0.579 0.819 0.000
Br8 Br 0.421 0.181 0.000
Ba1 Ba 0.000 0.000 0.500
K1 K 0.501 0.500 0.756
K2 K 0.499 0.500 0.244
Ir1 Ir 0.000 0.000 0.000
```


(11)
VASP calculation (PBE) on an optimized crystal structure of BaLi2IrBr8.

Its formation energy from raw total energies is -1083.1 meV/atom. For the density of states at the Fermi level, the calculation gives 6.85 states/eV per cell. Its symmetry is P-1 (2).

Structure (CIF):
```
data_BaLi2IrBr8
_chemical_formula_sum 'Ba1 Li2 Ir1 Br8'
_space_group_name_H-M_alt 'P 1'
_space_group_IT_number 1
_cell_length_a 6.595
_cell_length_b 7.770
_cell_length_c 8.899
_cell_angle_alpha 89.93
_cell_angle_beta 89.98
_cell_angle_gamma 124.57
loop_
_space_group_symop_operation_xyz
'x,y,z'
loop_
_atom_site_label
_atom_site_type_symbol
_atom_site_fract_x
_atom_site_fract_y
_atom_site_fract_z
Br1 Br 0.031 0.250 0.195
Br2 Br 0.410 0.682 0.500
Br3 Br 0.971 0.751 0.196
Br4 Br 0.029 0.249 0.804
Br5 Br 0.590 0.318 0.500
Br6 Br 0.451 0.199 0.999
Br7 Br 0.969 0.750 0.805
Br8 Br 0.549 0.801 0.001
Li1 Li 0.500 0.499 0.715
Li2 Li 0.500 0.501 0.285
Ir1 Ir 0.000 0.000 0.000
Ba1 Ba 0.000 0.000 0.500
```


(12)
VASP calculation (PBE) on an optimized crystal structure of Ba2MgIrBr.

Its formation energy from raw total energies is -629.8 meV/atom. For the density of states at the Fermi level, the calculation gives 2.89 states/eV per cell. Its symmetry is P4/mmm (123).

Structure (CIF):
```
data_Ba2MgIrBr
_chemical_formula_sum 'Ba2 Mg1 Ir1 Br1'
_space_group_name_H-M_alt 'P 1'
_space_group_IT_number 1
_cell_length_a 6.096
_cell_length_b 6.096
_cell_length_c 5.037
_cell_angle_alpha 90.00
_cell_angle_beta 90.00
_cell_angle_gamma 90.00
loop_
_space_group_symop_operation_xyz
'x,y,z'
loop_
_atom_site_label
_atom_site_type_symbol
_atom_site_fract_x
_atom_site_fract_y
_atom_site_fract_z
Ba1 Ba 0.000 0.500 0.000
Ba2 Ba 0.500 0.000 0.000
Mg1 Mg 0.000 0.000 0.500
Ir1 Ir 0.000 0.000 0.000
Br1 Br 0.500 0.500 0.500
```